DFT (PBE) results for MgHgSe3 after structural relaxation.

Geometry as CIF:
```
data_MgHgSe3
_chemical_formula_sum 'Mg1 Hg1 Se3'
_space_group_name_H-M_alt 'P m -3 m'
_space_group_IT_number 221
_space_group_name_Hall '-P 4 2 3'
_cell_length_a 5.099
_cell_length_b 5.099
_cell_length_c 5.099
_cell_angle_alpha 90.00
_cell_angle_beta 90.00
_cell_angle_gamma 90.00
loop_
_atom_site_label
_atom_site_fract_x
_atom_site_fract_y
_atom_site_fract_z
_atom_site_occupancy
Mg1 0.000 0.000 0.000 1
Hg1 0.500 0.500 0.500 1
Se1 0.000 0.000 0.500 1
```

Output
**D(E_F)**: 1.6491 states/eV/atom
**E above lowest polymorph**: 0 meV/atom
**E_form (uncorrected)**: 0.179 eV per atom
**Calculated total energy**: -2.291 eV per atom



DFT (PBE) results for Nd2Ho8Er after structural relaxation.

Geometry as CIF:
```
data_Nd2Ho8Er
_chemical_formula_sum 'Nd4 Ho16 Er2'
_space_group_name_H-M_alt 'C 1 2/m 1'
_space_group_IT_number 12
_cell_length_a 9.011
_cell_length_b 15.997
_cell_length_c 5.874
_cell_angle_alpha 90.00
_cell_angle_beta 122.84
_cell_angle_gamma 90.00
loop_
_space_group_symop_operation_xyz
'x,y,z'
'-x,-y,-z'
'-x,y,-z'
'x,-y,z'
'x+1/2,y+1/2,z'
'-x+1/2,-y+1/2,-z'
'-x+1/2,y+1/2,-z'
'x+1/2,-y+1/2,z'
loop_
_atom_site_label
_atom_site_fract_x
_atom_site_fract_y
_atom_site_fract_z
_atom_site_occupancy
Nd1 0.000 0.193 0.000 1
Ho1 0.000 0.293 0.500 1
Ho2 0.073 0.000 0.297 1
Ho3 0.214 0.385 0.172 1
Er1 0.000 0.500 0.500 1
```

Output
**D(E_F)**: 1.3179 states/eV/atom
**E above lowest polymorph**: 137 meV/atom
**Formation energy from the elements**: 159.5 meV/atom
**Calculated total energy**: -4.452 eV per atom



DFT (PBE) results for LaBe2P after structural relaxation.

Geometry as CIF:
```
data_LaBe2P
_chemical_formula_sum 'La2 Be4 P2'
_space_group_name_H-M_alt 'C 1 2/m 1'
_space_group_IT_number 12
_cell_length_a 6.582
_cell_length_b 3.790
_cell_length_c 5.547
_cell_angle_alpha 90.00
_cell_angle_beta 113.20
_cell_angle_gamma 90.00
loop_
_space_group_symop_operation_xyz
'x,y,z'
'-x,-y,-z'
'-x,y,-z'
'x,-y,z'
'x+1/2,y+1/2,z'
'-x+1/2,-y+1/2,-z'
'-x+1/2,y+1/2,-z'
'x+1/2,-y+1/2,z'
loop_
_atom_site_label
_atom_site_fract_x
_atom_site_fract_y
_atom_site_fract_z
_atom_site_occupancy
La1 0.000 0.000 0.000 1
Be1 0.199 0.000 0.596 1
P1 0.000 0.500 0.500 1
```

Output
**D(E_F)**: 0.4726 states/eV/atom
**Formation energy from the elements**: -225.3 meV/atom
**Calculated total energy**: -4.673 eV per atom



DFT (PBE) results for La7GePt5 after structural relaxation.

Geometry as CIF:
```
data_La7GePt5
_chemical_formula_sum 'La28 Ge4 Pt20'
_space_group_name_H-M_alt 'C m c m'
_space_group_IT_number 63
_space_group_name_Hall '-C 2c 2'
_cell_length_a 4.276
_cell_length_b 14.112
_cell_length_c 25.010
_cell_angle_alpha 90.00
_cell_angle_beta 90.00
_cell_angle_gamma 90.00
loop_
_atom_site_label
_atom_site_fract_x
_atom_site_fract_y
_atom_site_fract_z
_atom_site_occupancy
La1 0.000 0.055 0.250 1
La2 0.000 0.135 0.537 1
La3 0.000 0.319 0.175 1
La4 0.000 0.408 0.607 1
Ge1 0.000 0.290 0.750 1
Pt1 0.000 0.041 0.646 1
Pt2 0.000 0.227 0.073 1
Pt3 0.000 0.500 0.000 1
```

Output
**D(E_F)**: 0.5806 states/eV/atom
**Formation energy from the elements**: -1046.8 meV/atom
**Calculated total energy**: -6.379 eV per atom



DFT (PBE) results for PmMgH8Rh2 after structural relaxation.

Geometry as CIF:
```
data_PmMgH8Rh2
_chemical_formula_sum 'Pm3 Mg3 H24 Rh6'
_space_group_name_H-M_alt 'R -3'
_space_group_IT_number 148
_space_group_name_Hall '-R 3'
_cell_length_a 4.8128
_cell_length_b 4.8128
_cell_length_c 16.4766
_cell_angle_alpha 90.00
_cell_angle_beta 90.00
_cell_angle_gamma 120.00
loop_
_atom_site_label
_atom_site_fract_x
_atom_site_fract_y
_atom_site_fract_z
_atom_site_occupancy
Pm1 0.0000 0.0000 0.0000 1
Mg1 0.0000 0.0000 0.5000 1
H1 0.0000 0.0000 0.3069 1
H2 0.0186 0.2817 0.8839 1
Rh1 0.0000 0.0000 0.2022 1
```

Output
**D(E_F)**: 0.2354 states/eV/atom
**Calculated total energy**: -4.252 eV per atom



DFT (PBE) results for AcY3Pd after structural relaxation.

Geometry as CIF:
```
data_AcY3Pd
_chemical_formula_sum 'Ac1 Y3 Pd1'
_space_group_name_H-M_alt 'P m -3 m'
_space_group_IT_number 221
_space_group_name_Hall '-P 4 2 3'
_cell_length_a 5.553
_cell_length_b 5.553
_cell_length_c 5.553
_cell_angle_alpha 90.00
_cell_angle_beta 90.00
_cell_angle_gamma 90.00
loop_
_atom_site_label
_atom_site_fract_x
_atom_site_fract_y
_atom_site_fract_z
_atom_site_occupancy
Ac1 0.000 0.000 0.000 1
Y1 0.000 0.500 0.500 1
Pd1 0.500 0.500 0.500 1
```

Output
**D(E_F)**: 1.6543 states/eV/atom
**Formation energy from the elements**: -234.0 meV/atom
**Calculated total energy**: -5.973 eV per atom



DFT (PBE) results for KNaMgSc2 after structural relaxation.

Geometry as CIF:
```
data_KNaMgSc2
_chemical_formula_sum 'K1 Na1 Mg1 Sc2'
_space_group_name_H-M_alt 'P 4/m m m'
_space_group_IT_number 123
_space_group_name_Hall '-P 4 2'
_cell_length_a 5.504
_cell_length_b 5.504
_cell_length_c 5.612
_cell_angle_alpha 90.00
_cell_angle_beta 90.00
_cell_angle_gamma 90.00
loop_
_atom_site_label
_atom_site_fract_x
_atom_site_fract_y
_atom_site_fract_z
_atom_site_occupancy
K1 0.000 0.000 0.000 1
Na1 0.500 0.500 0.500 1
Mg1 0.000 0.000 0.500 1
Sc1 0.000 0.500 0.000 1
```

Output
**D(E_F)**: 1.3123 states/eV/atom
**Formation energy from the elements**: 1317.3 meV/atom
**Calculated total energy**: -2.018 eV per atom



DFT (PBE) results for Cs2Na2H after structural relaxation.

Geometry as CIF:
```
data_Cs2Na2H
_chemical_formula_sum 'Cs4 Na4 H2'
_space_group_name_H-M_alt 'I 4/m m m'
_space_group_IT_number 139
_space_group_name_Hall '-I 4 2'
_cell_length_a 4.462
_cell_length_b 4.462
_cell_length_c 23.555
_cell_angle_alpha 90.00
_cell_angle_beta 90.00
_cell_angle_gamma 90.00
loop_
_atom_site_label
_atom_site_fract_x
_atom_site_fract_y
_atom_site_fract_z
_atom_site_occupancy
Cs1 0.000 0.000 0.082 1
Na1 0.000 0.500 0.250 1
H1 0.000 0.000 0.500 1
```

Output
**D(E_F)**: 0.4909 states/eV/atom
**E above lowest polymorph**: 0 meV/atom
**Calculated total energy**: -1.466 eV per atom



DFT (PBE) results for TaReNi4 after structural relaxation.

Geometry as CIF:
```
data_TaReNi4
_chemical_formula_sum 'Ta4 Re4 Ni16'
_space_group_name_H-M_alt 'F -4 3 m'
_space_group_IT_number 216
_space_group_name_Hall 'F -4 2 3'
_cell_length_a 6.677
_cell_length_b 6.677
_cell_length_c 6.677
_cell_angle_alpha 90.00
_cell_angle_beta 90.00
_cell_angle_gamma 90.00
loop_
_atom_site_label
_atom_site_fract_x
_atom_site_fract_y
_atom_site_fract_z
_atom_site_occupancy
Ta1 0.000 0.000 0.000 1
Re1 0.250 0.250 0.250 1
Ni1 0.124 0.124 0.624 1
```

Output
**D(E_F)**: 1.4733 states/eV/atom
**Formation energy from the elements**: -142.8 meV/atom
**Calculated total energy**: -8.047 eV per atom



DFT (PBE) results for CuSeBr2 after structural relaxation.

Geometry as CIF:
```
data_CuSeBr2
_chemical_formula_sum 'Cu1 Se1 Br2'
_space_group_name_H-M_alt 'P 4/m m m'
_space_group_IT_number 123
_space_group_name_Hall '-P 4 2'
_cell_length_a 5.074
_cell_length_b 5.074
_cell_length_c 3.382
_cell_angle_alpha 90.00
_cell_angle_beta 90.00
_cell_angle_gamma 90.00
loop_
_atom_site_label
_atom_site_fract_x
_atom_site_fract_y
_atom_site_fract_z
_atom_site_occupancy
Cu1 0.000 0.000 0.000 1
Se1 0.500 0.500 0.000 1
Br1 0.000 0.500 0.500 1
```

Output
**D(E_F)**: 0.6726 states/eV/atom
**E above lowest polymorph**: 737 meV/atom
**E_form (uncorrected)**: 0.570 eV per atom
**Calculated total energy**: -2.161 eV per atom



DFT (PBE) results for CrAu after structural relaxation.

Geometry as CIF:
```
data_CrAu
_chemical_formula_sum 'Cr2 Au2'
_space_group_name_H-M_alt 'P 63/m m c'
_space_group_IT_number 194
_space_group_name_Hall '-P 6c 2c'
_cell_length_a 3.0108
_cell_length_b 3.0108
_cell_length_c 8.6417
_cell_angle_alpha 90.00
_cell_angle_beta 90.00
_cell_angle_gamma 120.00
loop_
_atom_site_label
_atom_site_fract_x
_atom_site_fract_y
_atom_site_fract_z
_atom_site_occupancy
Cr1 0.0000 0.0000 0.0000 1
Au1 0.3333 0.6667 0.2500 1
```

Output
**D(E_F)**: 1.3574 states/eV/atom
**Formation energy from the elements**: 458.9 meV/atom
**Calculated total energy**: -5.991 eV per atom



DFT (PBE) results for K2BaTi after structural relaxation.

Geometry as CIF:
```
data_K2BaTi
_chemical_formula_sum 'K8 Ba4 Ti4'
_space_group_name_H-M_alt 'F m -3 m'
_space_group_IT_number 225
_space_group_name_Hall '-F 4 2 3'
_cell_length_a 9.155
_cell_length_b 9.155
_cell_length_c 9.155
_cell_angle_alpha 90.00
_cell_angle_beta 90.00
_cell_angle_gamma 90.00
loop_
_atom_site_label
_atom_site_fract_x
_atom_site_fract_y
_atom_site_fract_z
_atom_site_occupancy
K1 0.250 0.250 0.250 1
Ba1 0.000 0.000 0.000 1
Ti1 0.000 0.000 0.500 1
```

Output
**D(E_F)**: 3.7741 states/eV/atom
**E above lowest polymorph**: 169 meV/atom
**Formation energy from the elements**: 1004.2 meV/atom
**Calculated total energy**: -1.999 eV per atom